Entry 1:
## LiAcNi2Ge2 (GGA-PBE)

Data for a geometry-optimized LiAcNi2Ge2 structure.

extended XYZ file:
```
6
Lattice="4.172 0.000 0.000 -2.086 3.613 0.000 0.000 0.000 7.174" Properties=species:S:1:pos:R:3 pbc="T T T"
Ni 2.086 1.204 4.532
Ni 0.000 2.409 2.642
Ge 0.000 2.409 5.012
Li 0.000 0.000 3.587
Ge 2.086 1.204 2.163
Ac 0.000 0.000 0.000
```

***

Entry 2:
## SrAl2Ga (GGA-PBE)

Data for a geometry-optimized SrAl2Ga structure.

extended XYZ file:
```
8
Lattice="-2.074 -3.778 -0.020 1.137 -0.646 4.107 -8.555 4.680 3.104" Properties=species:S:1:pos:R:3 pbc="T T T"
Al -4.746 0.128 3.595
Al -9.063 2.501 2.902
Al -4.277 2.340 1.552
Sr -3.105 -0.758 0.740
Ga -6.655 1.184 2.029
Al 0.039 -0.034 2.245
Ga -2.368 1.283 3.119
Sr -5.919 3.225 4.407
```

***

no.,energy of formation (eV/atom)
1,-0.565
2,-0.170